First-principles (PBE) data for crystalline Dy2ScB2Ru5 at its relaxed geometry, as listed in Alexandria via LeMat-Bulk.

```
20
Lattice="-2.739 0.203 -1.537 -4.691 -3.111 7.952 -1.007 9.211 3.010" Properties=species:S:1:pos:R:3 pbc="T T T"
Sc -2.849 3.050 5.481
Sc 0.000 0.000 0.000
Ru -2.479 7.036 2.124
Ru -5.958 -0.733 7.301
Ru -4.771 4.994 5.941
Dy -4.545 3.667 8.585
Dy -3.350 -0.480 5.909
Ru -3.240 4.490 3.145
Ru -2.489 0.049 1.220
B -1.198 5.349 2.841
Ru -3.666 1.309 3.484
B -1.896 -0.053 3.373
Ru -5.948 6.254 8.205
Ru -3.715 -1.454 3.208
B -4.500 0.751 8.120
Dy -2.348 6.580 5.053
Ru -1.873 4.707 0.737
Ru -5.197 1.812 6.280
Dy -1.153 2.433 2.376
B -3.802 6.153 7.588
```

Results
energy: -7.98 eV/atom
space group: P4/mbm (127)
total magnetization: 0.00 μB/f.u.
formation enthalpy at 0 K: -43.7 kJ/mol of atoms
crystal system: tetragonal